The following is a DFT calculation (GGA-PBE) of an optimized crystal structure of Sr3EuAs.

Formation enthalpy at 0 K: -0.44 eV/atom
Calculated volume: 46.78 Å³/atom
Total moment: 8.2 Bohr magnetons per cell

Cell lengths 6.1612, 6.1612, 6.1612 Å; angles 90.00, 90.00, 90.00 degrees
Closest atoms and distances in Å follow each position.
Atoms (fractional coordinates):
Sr  0.5000  0.0000  0.0000  2 As 3.08
As  0.0000  0.0000  0.0000  6 Sr 3.08
Eu  0.5000  0.5000  0.5000  12 Sr 4.36
Sr  0.0000  0.0000  0.5000  2 As 3.08
Sr  0.0000  0.5000  0.0000  2 As 3.08